AgMoRu2 | PBE-GGA | relaxed

The structure in POSCAR format:
```
AgMoRu2
1.0
3.7277 0.0000 0.0000
0.0000 4.0224 0.0000
0.0000 0.0000 4.0224
Ru Ag Mo
2 1 1
Direct
0.0000 0.5000 0.5000 Ru
0.0000 0.0000 0.0000 Ru
0.5000 0.5000 0.0000 Ag
0.5000 0.0000 0.5000 Mo
```

Properties
Energy above the lowest structure with this stoichiometry, eV/atom: 0.218
Space-group type: P4/mmm
E_form, eV per atom: 0.42

---

TcPtBr4 | PBE-GGA | relaxed

The structure in POSCAR format:
```
TcPtBr4
1.0
5.2305 -0.2378 2.9227
0.9366 -4.2455 4.1298
3.8522 -4.4604 -1.1056
Br Tc Pt
4 1 1
Direct
0.3753 0.3753 0.3753 Br
0.3753 0.8740 0.3753 Br
0.3753 0.3753 0.8740 Br
0.8740 0.3753 0.3753 Br
0.0000 0.0000 0.0000 Tc
0.7500 0.7500 0.7500 Pt
```

Properties
Formation energy from raw total energies, kJ per mole of atoms: 147
Space-group type: F-43m

---

Ir7Au | PBE-GGA | relaxed

The structure in POSCAR format:
```
Ir7Au
1.0
0.0000 3.9072 3.9072
3.9072 0.0000 3.9072
3.9072 3.9072 0.0000
Au Ir
1 7
Direct
0.0000 0.0000 0.0000 Au
0.0000 0.5000 0.0000 Ir
0.0000 0.5000 0.5000 Ir
0.5000 0.0000 0.5000 Ir
0.5000 0.5000 0.5000 Ir
0.5000 0.5000 0.0000 Ir
0.5000 0.0000 0.0000 Ir
0.0000 0.0000 0.5000 Ir
```

Properties
Space-group type: Fm-3m
E_form, eV per atom: 0.22

---

LaFe4Si4 | PBE-GGA | relaxed

The structure in POSCAR format:
```
LaFe4Si4
1.0
-1.5749 2.7928 -2.4958
-5.9563 1.2430 5.1496
4.3030 5.6547 3.6122
Fe La Si
8 2 8
Direct
0.0000 0.5954 0.8841 Fe
0.5000 0.9046 0.6159 Fe
0.5000 0.6159 0.0954 Fe
0.5000 0.0954 0.3841 Fe
0.0000 0.8841 0.4046 Fe
0.0000 0.1159 0.5954 Fe
0.0000 0.4046 0.1159 Fe
0.5000 0.3841 0.9046 Fe
0.0000 0.0000 0.0000 La
0.5000 0.5000 0.5000 La
0.5000 0.8329 0.2831 Si
0.0000 0.3329 0.7831 Si
0.0000 0.2169 0.3329 Si
0.5000 0.2831 0.1671 Si
0.0000 0.6671 0.2169 Si
0.0000 0.7831 0.6671 Si
0.5000 0.1671 0.7169 Si
0.5000 0.7169 0.8329 Si
```

Properties
Formation energy from raw total energies, kJ per mole of atoms: -50
Space-group type: I4/m

---

Calculated density in order - 11.2; 6.7; 21.5; 6.1 g/cm³
Calculated E_tot in order - -30.56; -13.94; -63.57; -130.27 eV per cell